[1]
# PmPrAl

An optimized crystal structure of PmPrAl (GGA-PBE, OQMD via LeMat-Bulk).

```
3
Lattice="0.000 3.627 3.627 3.627 0.000 3.627 3.627 3.627 0.000" Properties=species:S:1:pos:R:3 pbc="T T T"
Pr 5.441 5.441 5.441
Al 1.814 1.814 1.814
Pm 0.000 0.000 0.000
```

Summary:
Symmetry ... F-43m, No. 216
Distance to the lowest polymorph of the same formula ... 0.00 eV/f.u.

[2]
# PmAl4Pt3

An optimized crystal structure of PmAl4Pt3 (GGA-PBE, OQMD via LeMat-Bulk).

```
8
Lattice="-2.647 2.647 5.351 2.647 -2.647 5.351 2.647 2.647 -5.351" Properties=species:S:1:pos:R:3 pbc="T T T"
Al 0.000 2.647 0.000
Pm 0.000 0.000 0.000
Pt 0.000 0.000 5.351
Al 2.647 0.000 0.000
Al 0.000 0.000 2.943
Pt 2.647 0.000 2.675
Pt 0.000 2.647 2.675
Al 0.000 0.000 7.758
```

Summary:
Symmetry ... I4/mmm, No. 139

[3]
# Pm2Al3Pt4

An optimized crystal structure of Pm2Al3Pt4 (GGA-PBE, OQMD via LeMat-Bulk).

```
18
Lattice="2.837 -7.791 0.000 2.837 7.791 0.000 0.000 0.000 7.604" Properties=species:S:1:pos:R:3 pbc="T T T"
Al 2.837 0.000 0.000
Pt 4.255 0.958 5.703
Pm 2.837 -1.664 4.503
Pt 2.837 -2.861 7.408
Pm 2.837 1.664 3.101
Pm 2.837 -6.127 0.701
Pt 1.418 0.958 5.703
Al 4.255 -3.548 1.901
Al 4.255 3.548 5.703
Al 0.000 0.000 3.802
Pt 2.837 -4.930 3.606
Pt 2.837 2.861 0.195
Al 1.418 -3.548 1.901
Pt 1.418 -0.958 1.901
Al 1.418 3.548 5.703
Pm 2.837 6.127 6.902
Pt 4.255 -0.958 1.901
Pt 2.837 4.930 3.997
```

Summary:
Symmetry ... Cmce, No. 64

[4]
# PmAlPt

An optimized crystal structure of PmAlPt (GGA-PBE, OQMD via LeMat-Bulk).

```
3
Lattice="-1.145 3.073 3.480 -1.774 4.302 -1.098 -4.590 0.993 0.898" Properties=species:S:1:pos:R:3 pbc="T T T"
Al -1.877 2.092 0.820
Pt -5.632 6.276 2.460
Pm 0.000 0.000 0.000
```

Summary:
Symmetry ... F-43m, No. 216
Distance to the lowest polymorph of the same formula ... 3.05 eV/f.u.

[5]
# PmAlPt

An optimized crystal structure of PmAlPt (GGA-PBE, OQMD via LeMat-Bulk).

```
12
Lattice="7.120 0.000 0.000 0.000 4.484 0.000 0.000 0.000 7.833" Properties=species:S:1:pos:R:3 pbc="T T T"
Pm 3.769 1.121 5.343
Pt 5.121 3.363 6.954
Pm 6.912 3.363 1.426
Pt 1.999 1.121 0.879
Al 4.599 1.121 0.522
Pt 1.561 3.363 4.795
Pm 3.352 3.363 2.490
Al 1.038 1.121 3.394
Al 2.522 3.363 7.311
Pm 0.208 1.121 6.407
Al 6.082 3.363 4.439
Pt 5.559 1.121 3.037
```

Summary:
Symmetry ... Pnma, No. 62
Distance to the lowest polymorph of the same formula ... 0.00 eV/f.u.

[6]
# PmAl3Pt

An optimized crystal structure of PmAl3Pt (GGA-PBE, OQMD via LeMat-Bulk).

```
20
Lattice="8.393 0.000 0.000 0.000 4.255 0.000 0.000 0.000 10.992" Properties=species:S:1:pos:R:3 pbc="T T T"
Al 5.180 3.191 8.777
Pt 5.003 1.064 3.888
Al 0.984 3.191 7.712
Al 1.188 3.191 3.083
Al 4.705 1.064 6.428
Al 0.508 1.064 10.061
Pm 6.827 3.191 5.664
Al 3.689 3.191 4.564
Al 3.008 1.064 8.579
Pt 7.587 3.191 9.384
Al 5.385 3.191 2.413
Pm 5.763 1.064 0.168
Al 7.205 1.064 7.910
Al 7.410 1.064 3.281
Pt 0.806 1.064 1.609
Pm 2.631 3.191 10.825
Pm 1.566 1.064 5.329
Pt 3.390 3.191 7.105
Al 7.885 3.191 0.932
Al 3.213 1.064 2.216
```

Summary:
Symmetry ... Pnma, No. 62

[7]
# PmAlPt

An optimized crystal structure of PmAlPt (GGA-PBE, OQMD via LeMat-Bulk).

```
3
Lattice="2.486 2.420 3.129 -1.639 0.589 4.335 2.028 -2.207 3.584" Properties=species:S:1:pos:R:3 pbc="T T T"
Al 0.719 0.200 2.762
Pm 2.156 0.601 8.286
Pt 0.000 0.000 0.000
```

Summary:
Symmetry ... F-43m, No. 216
Distance to the lowest polymorph of the same formula ... 0.92 eV/f.u.

[8]
# PmAl2Pt

An optimized crystal structure of PmAl2Pt (GGA-PBE, OQMD via LeMat-Bulk).

```
8
Lattice="0.678 5.748 -0.484 -3.948 -3.638 2.214 3.346 0.125 6.172" Properties=species:S:1:pos:R:3 pbc="T T T"
Al 3.123 4.414 5.763
Pt -0.120 -0.869 6.074
Al 1.821 4.365 3.362
Al -1.745 -2.131 4.541
Pt 0.196 3.103 1.828
Al -3.047 -2.180 2.139
Pm -1.096 0.482 2.582
Pm 1.172 1.753 5.320
```

Summary:
Symmetry ... Cmcm, No. 63

no.,total moment (μB per atom),raw total energy (Ry per atom)
1,0.20,-0.291
2,0.00,-0.372
3,0.00,-0.450
4,0.00,-0.362
5,0.00,-0.436
6,0.00,-0.385
7,0.10,-0.414
8,0.00,-0.406